This record from Alexandria via LeMat-Bulk describes an optimized crystal structure of Be2CrIn. The functional is GGA-PBE.

Unit cell a=3.506 b=3.506 c=8.261 alpha=90.00 beta=90.00 gamma=90.00
Space group I-4m2 (No. 119)
Unique sites:
Be1 0.000 0.000 0.000 x2
Be2 0.000 0.500 0.250 x2
Cr1 0.000 0.500 0.750 x2
In1 0.000 0.000 0.500 x2

Summary:
energy of formation = 9.04 kcal/mol of atoms
theoretical density = 6.04 g/cm3
crystal system = tetragonal
magnetic moment = 1.01 μB/f.u.


This record from Alexandria via LeMat-Bulk describes an optimized crystal structure of BeCrIn. The functional is GGA-PBE.

Unit cell a=4.2216 b=4.2216 c=2.9379 alpha=90.00 beta=90.00 gamma=120.00
Space group P3m1 (No. 156)
Unique sites:
Be1 0.0000 0.0000 0.0000 x1
Cr1 0.6667 0.3333 0.4959 x1
In1 0.3333 0.6667 0.9955 x1

Summary:
energy above the lowest structure with this stoichiometry = 33 meV per atom
energy of formation = 9.90 kcal/mol of atoms
theoretical density = 6.44 g/cm3
crystal system = trigonal
magnetic moment = 2.80 μB/f.u.


This record from Alexandria via LeMat-Bulk describes an optimized crystal structure of BeCr2In. The functional is GGA-PBE.

Unit cell a=9.206 b=3.130 c=4.381 alpha=90.00 beta=118.27 gamma=90.00
Space group Cm (No. 8)
Unique sites:
Be1 0.000 0.000 0.000 x2
Cr1 0.245 0.500 0.247 x2
Cr2 0.464 0.000 0.465 x2
In1 0.243 0.000 0.745 x2

Summary:
energy above the lowest structure with this stoichiometry = 165 meV per atom
energy of formation = 9.15 kcal/mol of atoms
theoretical density = 6.81 g/cm3
crystal system = monoclinic
magnetic moment = 0.22 μB/f.u.